No. 1
K2ScTlCl6 meta-GGA SCAN PBEsol geometry; DOS(E_F) = 0.000 states/eV/atom; VASP energy = -17.1020 eV/atom; uncorrected formation energy = -1989.9 meV per atom
1.0
0.000 5.417 5.417
5.417 0.000 5.417
5.417 5.417 0.000
K Sc Tl Cl
2 1 1 6
direct
0.250 0.250 0.250 K
0.750 0.750 0.750 K
0.000 0.000 0.000 Sc
0.500 0.500 0.500 Tl
0.227 0.227 0.773 Cl
0.227 0.773 0.227 Cl
0.227 0.773 0.773 Cl
0.773 0.227 0.227 Cl
0.773 0.227 0.773 Cl
0.773 0.773 0.227 Cl

---

No. 2
DyCr3S6 meta-GGA SCAN PBEsol geometry; DOS(E_F) = 0.047 states/eV/atom; VASP energy = -17.4829 eV/atom; uncorrected formation energy = -1411.0 meV per atom
1.0
10.521 0.000 0.000
0.000 10.660 0.000
0.000 0.000 12.430
Dy Cr S
8 24 48
direct
0.000 0.010 0.000 Dy
0.000 0.512 0.836 Dy
0.166 0.985 0.499 Dy
0.334 0.015 0.999 Dy
0.500 0.488 0.336 Dy
0.500 0.990 0.500 Dy
0.666 0.015 0.999 Dy
0.834 0.985 0.499 Dy
0.000 0.166 0.263 Cr
0.000 0.198 0.780 Cr
0.000 0.656 0.573 Cr
0.000 0.692 0.060 Cr
0.164 0.311 0.549 Cr
0.164 0.793 0.284 Cr
0.165 0.344 0.076 Cr
0.167 0.837 0.764 Cr
0.333 0.163 0.264 Cr
0.335 0.656 0.576 Cr
0.336 0.207 0.784 Cr
0.336 0.689 0.049 Cr
0.500 0.308 0.560 Cr
0.500 0.344 0.073 Cr
0.500 0.802 0.280 Cr
0.500 0.834 0.763 Cr
0.664 0.207 0.784 Cr
0.664 0.689 0.049 Cr
0.665 0.656 0.576 Cr
0.667 0.163 0.264 Cr
0.833 0.837 0.764 Cr
0.835 0.344 0.076 Cr
0.836 0.311 0.549 Cr
0.836 0.793 0.284 Cr
0.000 0.160 0.593 S
0.000 0.286 0.956 S
0.000 0.372 0.199 S
0.000 0.449 0.508 S
0.000 0.656 0.242 S
0.000 0.785 0.881 S
0.000 0.868 0.637 S
0.000 0.946 0.329 S
0.164 0.339 0.737 S
0.165 0.552 0.009 S
0.166 0.051 0.831 S
0.166 0.133 0.136 S
0.166 0.204 0.382 S
0.167 0.630 0.700 S
0.167 0.725 0.461 S
0.168 0.842 0.096 S
0.332 0.158 0.596 S
0.333 0.275 0.961 S
0.333 0.370 0.200 S
0.334 0.796 0.882 S
0.334 0.867 0.636 S
0.334 0.949 0.331 S
0.335 0.448 0.509 S
0.336 0.661 0.237 S
0.500 0.054 0.829 S
0.500 0.132 0.137 S
0.500 0.215 0.381 S
0.500 0.344 0.742 S
0.500 0.551 0.008 S
0.500 0.628 0.699 S
0.500 0.714 0.456 S
0.500 0.840 0.093 S
0.664 0.661 0.237 S
0.665 0.448 0.509 S
0.666 0.796 0.882 S
0.666 0.867 0.636 S
0.666 0.949 0.331 S
0.667 0.275 0.961 S
0.667 0.370 0.200 S
0.668 0.158 0.596 S
0.832 0.842 0.096 S
0.833 0.630 0.700 S
0.833 0.725 0.461 S
0.834 0.051 0.831 S
0.834 0.133 0.136 S
0.834 0.204 0.382 S
0.835 0.552 0.009 S
0.836 0.339 0.737 S

---

No. 3
Be2MoRu meta-GGA SCAN PBEsol geometry; energy of formation = 0.213 eV/atom; DOS(E_F) = 0.433 states/eV/atom; VASP energy = -19.3916 eV/atom; excess energy over the best structure of this formula in the dataset = 0.4320 eV per atom
1.0
1.337 0.772 7.908
-1.337 0.772 7.908
0.000 -1.543 7.908
Be Mo Ru
2 1 1
direct
0.000 0.000 0.000 Be
0.256 0.256 0.256 Be
0.754 0.754 0.754 Mo
0.511 0.511 0.511 Ru

---

No. 4
SrLi2Te2 meta-GGA SCAN PBEsol geometry; DOS(E_F) = 0.000 states/eV/atom; VASP energy = -21.6782 eV/atom; uncorrected formation energy = -1366.8 meV per atom
1.0
-2.119 2.119 7.200
2.119 -2.119 7.200
2.119 2.119 -7.200
Sr Li Te
1 2 2
direct
0.000 0.000 0.000 Sr
0.250 0.750 0.500 Li
0.750 0.250 0.500 Li
0.371 0.371 0.000 Te
0.629 0.629 0.000 Te

---

No. 5
Zr2GeTe meta-GGA SCAN PBEsol geometry; DOS(E_F) = 1.267 states/eV/atom; VASP energy = -29.9935 eV/atom; uncorrected formation energy = -559.4 meV per atom
1.0
0.000 3.431 3.431
3.431 0.000 3.431
3.431 3.431 0.000
Zr Ge Te
2 1 1
direct
0.250 0.250 0.250 Zr
0.750 0.750 0.750 Zr
0.000 0.000 0.000 Ge
0.500 0.500 0.500 Te

---

No. 6
CsH2IrN meta-GGA SCAN PBEsol geometry; DOS(E_F) = 0.331 states/eV/atom; VASP energy = -24.8555 eV/atom
1.0
4.216 0.000 0.000
0.000 4.216 0.000
0.000 0.000 3.741
Cs H Ir N
1 2 1 1
direct
0.000 0.000 0.000 Cs
0.000 0.500 0.500 H
0.500 0.000 0.500 H
0.500 0.500 0.500 Ir
0.500 0.500 0.000 N